Here is crystalline AcSm4Y6 at its relaxed geometry from Alexandria. Energies are from PBE.

Cell lengths 5.721, 5.721, 26.062 Å; angles 90.00, 90.00, 118.24 degrees
Element x y z (fractional)
Ac 0.187 0.813 0.750
Ac 0.813 0.187 0.250
Sm 0.158 0.842 0.043
Sm 0.158 0.842 0.457
Sm 0.470 0.530 0.122
Sm 0.470 0.530 0.378
Sm 0.530 0.470 0.622
Sm 0.530 0.470 0.878
Sm 0.842 0.158 0.543
Sm 0.842 0.158 0.957
Y 0.143 0.857 0.180
Y 0.143 0.857 0.320
Y 0.188 0.812 0.599
Y 0.188 0.812 0.901
Y 0.476 0.524 0.250
Y 0.500 0.500 0.000
Y 0.500 0.500 0.500
Y 0.524 0.476 0.750
Y 0.812 0.188 0.099
Y 0.812 0.188 0.401
Y 0.857 0.143 0.680
Y 0.857 0.143 0.820

Output
- D(E_F) (states/eV per cell) = 40.45
- crystal system = orthorhombic
- formation enthalpy at 0 K (eV/atom) = 0.1217
- space group = Cmcm
- spin magnetization (μB per formula unit) = 0.00
- volume (Å³ per atom) = 34.2
- total energy (eV/atom) = -5.49

=====

Here is crystalline AcSm5Y12 at its relaxed geometry from Alexandria. Energies are from PBE.

Cell lengths 10.507, 10.507, 5.974 Å; angles 90.13, 90.13, 113.64 degrees
Element x y z (fractional)
Ac 0.000 0.000 0.000
Sm 0.165 0.835 0.500
Sm 0.328 0.672 0.000
Sm 0.500 0.500 0.500
Sm 0.672 0.328 0.000
Sm 0.835 0.165 0.500
Y 0.013 0.347 0.952
Y 0.160 0.496 0.454
Y 0.183 0.183 0.535
Y 0.334 0.334 0.038
Y 0.347 0.013 0.952
Y 0.496 0.160 0.454
Y 0.504 0.840 0.546
Y 0.653 0.987 0.048
Y 0.666 0.666 0.962
Y 0.817 0.817 0.465
Y 0.840 0.504 0.546
Y 0.987 0.653 0.048

Output
- D(E_F) (states/eV per cell) = 36.98
- crystal system = monoclinic
- formation enthalpy at 0 K (eV/atom) = 0.1064
- space group = C2/m
- spin magnetization (μB per formula unit) = 0.00
- volume (Å³ per atom) = 33.6
- total energy (eV/atom) = -5.74

=====

Here is crystalline Ac3SmY12 at its relaxed geometry from Alexandria. Energies are from PBE.

Cell lengths 5.163, 5.163, 20.695 Å; angles 90.00, 90.00, 90.00 degrees
Element x y z (fractional)
Ac 0.000 0.000 0.000
Ac 0.000 0.000 0.252
Ac 0.000 0.000 0.748
Sm 0.000 0.000 0.500
Y 0.000 0.500 0.127
Y 0.000 0.500 0.380
Y 0.000 0.500 0.620
Y 0.000 0.500 0.873
Y 0.500 0.000 0.127
Y 0.500 0.000 0.380
Y 0.500 0.000 0.620
Y 0.500 0.000 0.873
Y 0.500 0.500 0.000
Y 0.500 0.500 0.253
Y 0.500 0.500 0.500
Y 0.500 0.500 0.747

Output
- D(E_F) (states/eV per cell) = 27.87
- crystal system = tetragonal
- formation enthalpy at 0 K (eV/atom) = 0.0478
- space group = P4/mmm
- spin magnetization (μB per formula unit) = 0.00
- volume (Å³ per atom) = 34.5
- total energy (eV/atom) = -5.87

=====

Here is crystalline Ac7Sm2Y2 at its relaxed geometry from Alexandria. Energies are from PBE.

Cell lengths 8.506, 8.506, 6.730 Å; angles 95.70, 95.70, 77.19 degrees
Element x y z (fractional)
Ac 0.000 0.000 0.000
Ac 0.087 0.433 0.249
Ac 0.433 0.087 0.249
Ac 0.452 0.452 0.739
Ac 0.548 0.548 0.261
Ac 0.567 0.913 0.751
Ac 0.913 0.567 0.751
Sm 0.202 0.202 0.712
Sm 0.798 0.798 0.288
Y 0.174 0.826 0.500
Y 0.826 0.174 0.500

Output
- D(E_F) (states/eV per cell) = 18.81
- crystal system = monoclinic
- formation enthalpy at 0 K (eV/atom) = 0.2516
- space group = C2/m
- spin magnetization (μB per formula unit) = 0.00
- volume (Å³ per atom) = 42.8
- total energy (eV/atom) = -4.40

=====

Here is crystalline AcSm8Y6 at its relaxed geometry from Alexandria. Energies are from PBE.

Cell lengths 8.815, 8.815, 8.815 Å; angles 62.61, 62.61, 62.61 degrees
Element x y z (fractional)
Ac 0.000 0.000 0.000
Sm 0.113 0.749 0.715
Sm 0.251 0.285 0.887
Sm 0.285 0.887 0.251
Sm 0.423 0.423 0.423
Sm 0.577 0.577 0.577
Sm 0.715 0.113 0.749
Sm 0.749 0.715 0.113
Sm 0.887 0.251 0.285
Y 0.096 0.251 0.532
Y 0.251 0.532 0.096
Y 0.468 0.904 0.749
Y 0.532 0.096 0.251
Y 0.749 0.468 0.904
Y 0.904 0.749 0.468

Output
- D(E_F) (states/eV per cell) = 24.43
- crystal system = trigonal
- formation enthalpy at 0 K (eV/atom) = 0.1302
- space group = R-3
- spin magnetization (μB per formula unit) = 0.00
- volume (Å³ per atom) = 34.2
- total energy (eV/atom) = -5.25

=====

Here is crystalline Ac4Sm4Y at its relaxed geometry from Alexandria. Energies are from PBE.

Cell lengths 8.464, 8.464, 8.464 Å; angles 95.74, 95.74, 143.11 degrees
Element x y z (fractional)
Ac 0.167 0.167 0.333
Ac 0.167 0.833 0.000
Ac 0.833 0.167 0.000
Ac 0.833 0.833 0.667
Sm 0.161 0.500 0.661
Sm 0.500 0.161 0.661
Sm 0.500 0.839 0.339
Sm 0.839 0.500 0.339
Y 0.500 0.500 0.000

Output
- D(E_F) (states/eV per cell) = 13.51
- crystal system = tetragonal
- formation enthalpy at 0 K (eV/atom) = 0.0469
- space group = I4/mmm
- spin magnetization (μB per formula unit) = 0.00
- volume (Å³ per atom) = 38.4
- total energy (eV/atom) = -4.59

=====

Here is crystalline AcSm6Y2 at its relaxed geometry from Alexandria. Energies are from PBE.

Cell lengths 3.672, 3.672, 27.093 Å; angles 90.00, 90.00, 120.00 degrees
Element x y z (fractional)
Ac 0.000 0.000 0.000
Sm 0.000 0.000 0.224
Sm 0.000 0.000 0.435
Sm 0.000 0.000 0.565
Sm 0.000 0.000 0.776
Sm 0.333 0.667 0.117
Sm 0.333 0.667 0.883
Y 0.333 0.667 0.332
Y 0.333 0.667 0.668

Output
- D(E_F) (states/eV per cell) = 15.21
- crystal system = hexagonal
- formation enthalpy at 0 K (eV/atom) = 0.0687
- space group = P-6m2
- spin magnetization (μB per formula unit) = 0.00
- volume (Å³ per atom) = 35.2
- total energy (eV/atom) = -4.97

=====

Here is crystalline AcSm3Y at its relaxed geometry from Alexandria. Energies are from PBE.

Cell lengths 3.744, 8.767, 11.519 Å; angles 105.41, 99.32, 90.04 degrees
Element x y z (fractional)
Ac 0.214 0.308 0.429
Ac 0.786 0.692 0.571
Sm 0.180 0.877 0.358
Sm 0.388 0.486 0.776
Sm 0.420 0.927 0.841
Sm 0.580 0.073 0.159
Sm 0.612 0.514 0.224
Sm 0.820 0.123 0.642
Y 0.016 0.715 0.033
Y 0.984 0.285 0.967

Output
- D(E_F) (states/eV per cell) = 17.74
- crystal system = triclinic
- formation enthalpy at 0 K (eV/atom) = 0.0437
- space group = P-1
- spin magnetization (μB per formula unit) = 0.00
- volume (Å³ per atom) = 35.9
- total energy (eV/atom) = -4.90

=====

Here is crystalline AcSm7Y4 at its relaxed geometry from Alexandria. Energies are from PBE.

Cell lengths 6.349, 7.337, 9.047 Å; angles 90.05, 103.55, 90.08 degrees
Element x y z (fractional)
Ac 0.000 0.000 0.000
Sm 0.000 0.500 0.000
Sm 0.225 0.000 0.662
Sm 0.280 0.747 0.337
Sm 0.499 0.745 0.000
Sm 0.501 0.255 0.000
Sm 0.720 0.253 0.663
Sm 0.775 0.000 0.338
Y 0.219 0.500 0.665
Y 0.280 0.255 0.336
Y 0.720 0.745 0.664
Y 0.781 0.500 0.335

Output
- D(E_F) (states/eV per cell) = 16.45
- crystal system = triclinic
- formation enthalpy at 0 K (eV/atom) = 0.0067
- space group = P-1
- spin magnetization (μB per formula unit) = 0.00
- volume (Å³ per atom) = 34.1
- total energy (eV/atom) = -5.24

=====

Here is crystalline Ac5Sm2Y6 at its relaxed geometry from Alexandria. Energies are from PBE.

Cell lengths 11.880, 21.780, 3.787 Å; angles 90.00, 90.00, 90.00 degrees
Element x y z (fractional)
Ac 0.000 0.000 0.000
Ac 0.072 0.426 0.000
Ac 0.145 0.723 0.000
Ac 0.355 0.223 0.000
Ac 0.428 0.926 0.000
Ac 0.500 0.500 0.000
Ac 0.572 0.074 0.000
Ac 0.645 0.777 0.000
Ac 0.855 0.277 0.000
Ac 0.928 0.574 0.000
Sm 0.116 0.283 0.500
Sm 0.384 0.783 0.500
Sm 0.616 0.217 0.500
Sm 0.884 0.717 0.500
Y 0.084 0.152 0.000
Y 0.159 0.881 0.500
Y 0.227 0.558 0.500
Y 0.273 0.058 0.500
Y 0.341 0.381 0.500
Y 0.416 0.652 0.000
Y 0.584 0.348 0.000
Y 0.659 0.619 0.500
Y 0.727 0.942 0.500
Y 0.773 0.442 0.500
Y 0.841 0.119 0.500
Y 0.916 0.848 0.000

Output
- D(E_F) (states/eV per cell) = 43.34
- crystal system = orthorhombic
- formation enthalpy at 0 K (eV/atom) = 0.0888
- space group = Pbam
- spin magnetization (μB per formula unit) = 0.00
- volume (Å³ per atom) = 37.7
- total energy (eV/atom) = -5.20

=====

Here is crystalline AcSm2Y6 at its relaxed geometry from Alexandria. Energies are from PBE.

Cell lengths 10.433, 10.433, 6.318 Å; angles 92.63, 92.63, 117.01 degrees
Element x y z (fractional)
Ac 0.248 0.752 0.750
Ac 0.752 0.248 0.250
Sm 0.155 0.346 0.498
Sm 0.346 0.155 0.998
Sm 0.654 0.845 0.002
Sm 0.845 0.654 0.502
Y 0.015 0.166 0.991
Y 0.089 0.592 0.228
Y 0.166 0.015 0.491
Y 0.333 0.488 0.006
Y 0.408 0.911 0.272
Y 0.488 0.333 0.506
Y 0.512 0.667 0.494
Y 0.592 0.089 0.728
Y 0.667 0.512 0.994
Y 0.834 0.985 0.509
Y 0.911 0.408 0.772
Y 0.985 0.834 0.009

Output
- D(E_F) (states/eV per cell) = 29.88
- crystal system = monoclinic
- formation enthalpy at 0 K (eV/atom) = 0.1194
- space group = C2/c
- spin magnetization (μB per formula unit) = 0.00
- volume (Å³ per atom) = 33.9
- total energy (eV/atom) = -5.70

=====

Here is crystalline Ac2SmY at its relaxed geometry from Alexandria. Energies are from PBE.

Cell lengths 5.453, 5.453, 5.179 Å; angles 90.00, 90.00, 90.00 degrees
Element x y z (fractional)
Ac 0.000 0.500 0.000
Ac 0.500 0.000 0.000
Sm 0.000 0.000 0.500
Y 0.500 0.500 0.500

Output
- D(E_F) (states/eV per cell) = 5.30
- crystal system = tetragonal
- formation enthalpy at 0 K (eV/atom) = 0.0338
- space group = P4/mmm
- spin magnetization (μB per formula unit) = 0.00
- volume (Å³ per atom) = 38.5
- total energy (eV/atom) = -4.82

=====

Here is crystalline Ac2Sm6Y at its relaxed geometry from Alexandria. Energies are from PBE.

Cell lengths 9.311, 9.311, 9.275 Å; angles 113.26, 113.26, 65.91 degrees
Element x y z (fractional)
Ac 0.020 0.170 0.182
Ac 0.170 0.020 0.682
Ac 0.830 0.980 0.318
Ac 0.980 0.830 0.818
Sm 0.094 0.577 0.422
Sm 0.172 0.354 0.020
Sm 0.335 0.500 0.838
Sm 0.354 0.172 0.520
Sm 0.423 0.906 0.078
Sm 0.500 0.335 0.338
Sm 0.500 0.665 0.662
Sm 0.577 0.094 0.922
Sm 0.646 0.828 0.480
Sm 0.665 0.500 0.162
Sm 0.828 0.646 0.980
Sm 0.906 0.423 0.578
Y 0.261 0.739 0.250
Y 0.739 0.261 0.750

Output
- D(E_F) (states/eV per cell) = 28.07
- crystal system = monoclinic
- formation enthalpy at 0 K (eV/atom) = 0.0932
- space group = C2/c
- spin magnetization (μB per formula unit) = 0.00
- volume (Å³ per atom) = 36.0
- total energy (eV/atom) = -4.68

=====

Here is crystalline Ac12SmY7 at its relaxed geometry from Alexandria. Energies are from PBE.

Cell lengths 12.169, 12.169, 12.169 Å; angles 116.30, 116.30, 116.30 degrees
Element x y z (fractional)
Ac 0.035 0.856 0.677
Ac 0.144 0.323 0.965
Ac 0.233 0.763 0.339
Ac 0.237 0.661 0.767
Ac 0.323 0.965 0.144
Ac 0.339 0.233 0.763
Ac 0.661 0.767 0.237
Ac 0.677 0.035 0.856
Ac 0.763 0.339 0.233
Ac 0.767 0.237 0.661
Ac 0.856 0.677 0.035
Ac 0.965 0.144 0.323
Sm 0.500 0.500 0.500
Y 0.000 0.000 0.000
Y 0.197 0.494 0.381
Y 0.381 0.197 0.494
Y 0.494 0.381 0.197
Y 0.506 0.619 0.803
Y 0.619 0.803 0.506
Y 0.803 0.506 0.619

Output
- D(E_F) (states/eV per cell) = 34.52
- crystal system = trigonal
- formation enthalpy at 0 K (eV/atom) = 0.3085
- space group = R-3
- spin magnetization (μB per formula unit) = 0.00
- volume (Å³ per atom) = 43.9
- total energy (eV/atom) = -4.65

=====

Here is crystalline Ac5Sm5Y2 at its relaxed geometry from Alexandria. Energies are from PBE.

Cell lengths 8.501, 8.501, 11.873 Å; angles 115.41, 115.41, 36.49 degrees
Element x y z (fractional)
Ac 0.000 0.000 0.000
Ac 0.079 0.079 0.745
Ac 0.249 0.249 0.255
Ac 0.751 0.751 0.745
Ac 0.921 0.921 0.255
Sm 0.332 0.332 0.000
Sm 0.414 0.414 0.742
Sm 0.500 0.500 0.500
Sm 0.586 0.586 0.258
Sm 0.668 0.668 0.000
Y 0.168 0.168 0.499
Y 0.832 0.832 0.501

Output
- D(E_F) (states/eV per cell) = 19.27
- crystal system = monoclinic
- formation enthalpy at 0 K (eV/atom) = 0.0449
- space group = C2/m
- spin magnetization (μB per formula unit) = 0.00
- volume (Å³ per atom) = 37.9
- total energy (eV/atom) = -4.71

=====

Here is crystalline Ac4Sm5Y2 at its relaxed geometry from Alexandria. Energies are from PBE.

Cell lengths 9.915, 9.915, 8.294 Å; angles 103.94, 103.94, 31.33 degrees
Element x y z (fractional)
Ac 0.044 0.044 0.231
Ac 0.318 0.318 0.591
Ac 0.682 0.682 0.409
Ac 0.956 0.956 0.769
Sm 0.139 0.139 0.691
Sm 0.226 0.226 0.125
Sm 0.500 0.500 0.500
Sm 0.774 0.774 0.875
Sm 0.861 0.861 0.309
Y 0.408 0.408 0.051
Y 0.592 0.592 0.949

Output
- D(E_F) (states/eV per cell) = 17.48
- crystal system = monoclinic
- formation enthalpy at 0 K (eV/atom) = 0.0449
- space group = C2/m
- spin magnetization (μB per formula unit) = 0.00
- volume (Å³ per atom) = 37.3
- total energy (eV/atom) = -4.77

=====

Here is crystalline AcSm4Y at its relaxed geometry from Alexandria. Energies are from PBE.

Cell lengths 7.085, 7.085, 10.102 Å; angles 90.00, 90.00, 121.78 degrees
Element x y z (fractional)
Ac 0.187 0.813 0.750
Ac 0.813 0.187 0.250
Sm 0.199 0.348 0.750
Sm 0.331 0.669 0.071
Sm 0.331 0.669 0.429
Sm 0.348 0.199 0.250
Sm 0.652 0.801 0.750
Sm 0.669 0.331 0.571
Sm 0.669 0.331 0.929
Sm 0.801 0.652 0.250
Y 0.000 0.000 0.000
Y 0.000 0.000 0.500

Output
- D(E_F) (states/eV per cell) = 20.20
- crystal system = orthorhombic
- formation enthalpy at 0 K (eV/atom) = 0.2542
- space group = Cmcm
- spin magnetization (μB per formula unit) = 0.00
- volume (Å³ per atom) = 35.9
- total energy (eV/atom) = -4.65

=====

Here is crystalline Ac2Sm3Y at its relaxed geometry from Alexandria. Energies are from PBE.

Cell lengths 11.404, 11.404, 12.144 Å; angles 116.22, 116.22, 18.71 degrees
Element x y z (fractional)
Ac 0.198 0.198 0.343
Ac 0.301 0.301 0.157
Ac 0.699 0.699 0.843
Ac 0.802 0.802 0.657
Sm 0.113 0.113 0.002
Sm 0.387 0.387 0.499
Sm 0.464 0.464 0.832
Sm 0.536 0.536 0.168
Sm 0.613 0.613 0.501
Sm 0.887 0.887 0.998
Y 0.036 0.036 0.667
Y 0.964 0.964 0.333

Output
- D(E_F) (states/eV per cell) = 18.92
- crystal system = monoclinic
- formation enthalpy at 0 K (eV/atom) = 0.1051
- space group = C2/m
- spin magnetization (μB per formula unit) = 0.00
- volume (Å³ per atom) = 37.7
- total energy (eV/atom) = -4.70

=====

Here is crystalline AcSm6Y8 at its relaxed geometry from Alexandria. Energies are from PBE.

Cell lengths 8.813, 8.813, 8.813 Å; angles 62.55, 62.55, 62.55 degrees
Element x y z (fractional)
Ac 0.000 0.000 0.000
Sm 0.102 0.235 0.533
Sm 0.235 0.533 0.102
Sm 0.467 0.898 0.765
Sm 0.533 0.102 0.235
Sm 0.765 0.467 0.898
Sm 0.898 0.765 0.467
Y 0.112 0.748 0.716
Y 0.252 0.284 0.888
Y 0.284 0.888 0.252
Y 0.423 0.423 0.423
Y 0.577 0.577 0.577
Y 0.716 0.112 0.748
Y 0.748 0.716 0.112
Y 0.888 0.252 0.284

Output
- D(E_F) (states/eV per cell) = 24.23
- crystal system = trigonal
- formation enthalpy at 0 K (eV/atom) = 0.1391
- space group = R-3
- spin magnetization (μB per formula unit) = 0.00
- volume (Å³ per atom) = 34.1
- total energy (eV/atom) = -5.47